## KBa2NaSe (GGA-PBE)

Data for an optimized crystal structure of KBa2NaSe.

Cell: 6.4730 6.4730 6.2233 Å, 90.00 90.00 90.00°
Sites, in units of the cell vectors:
Na  0.0000  0.0000  0.5000
Se  0.0000  0.0000  0.0000
K  0.5000  0.5000  0.5000
Ba  0.5000  0.0000  0.0000
Ba  0.0000  0.5000  0.0000

Calculated values
* E_tot: -2.571 eV per atom
* distance to the lowest polymorph of the same formula: 0.054 eV/atom
* formation energy from raw total energies: -60.0 kJ/mol of atoms
* total moment: 0.00 μB/f.u.
* V: 261 Å³/f.u.


## KBa2NaSe (GGA-PBE)

Data for an optimized crystal structure of KBa2NaSe.

Cell: 6.4252 6.4252 6.5211 Å, 90.00 90.00 90.00°
Sites, in units of the cell vectors:
Na  0.5000  0.5000  0.5000
Ba  0.0000  0.5000  0.0000
Ba  0.5000  0.0000  0.0000
Se  0.0000  0.0000  0.0000
K  0.0000  0.0000  0.5000

Calculated values
* E_tot: -2.625 eV per atom
* distance to the lowest polymorph of the same formula: 0.000 eV/atom
* formation energy from raw total energies: -65.2 kJ/mol of atoms
* total moment: 0.00 μB/f.u.
* V: 269 Å³/f.u.


## KBa2Na2Sr4 (GGA-PBE)

Data for an optimized crystal structure of KBa2Na2Sr4.

Cell: 4.2796 4.2796 31.7905 Å, 90.00 90.00 120.00°
Sites, in units of the cell vectors:
Ba  0.0000  0.0000  0.9862
Ba  0.6667  0.3333  0.6474
Sr  0.6667  0.3333  0.0983
Na  0.6667  0.3333  0.2181
K  0.0000  0.0000  0.3259
Sr  0.0000  0.0000  0.7615
Sr  0.0000  0.0000  0.5343
Sr  0.6667  0.3333  0.8719
Na  0.6667  0.3333  0.4335

Calculated values
* E_tot: -1.537 eV per atom
* calculated formation energy: 0.0531 eV per atom
* total moment: 0.00 μB/f.u.
* V: 504 Å³/f.u.


## K2BaNaV (GGA-PBE)

Data for an optimized crystal structure of K2BaNaV.

Cell: 6.1800 7.1332 6.1800 Å, 90.00 90.00 90.00°
Last column: magnetic moment on the atom in μB.
Sites, in units of the cell vectors:
K  0.5000  0.0000  0.0000  0.00
Na  0.0000  0.0000  0.0000  0.00
K  0.0000  0.0000  0.5000  -0.01
Ba  0.0000  0.5000  0.0000  -0.08
V  0.5000  0.5000  0.5000  -3.17

Calculated values
* E_tot: -1.926 eV per atom
* calculated formation energy: 0.9854 eV per atom
* total moment: 4.67 μB/f.u.
* V: 272 Å³/f.u.